Crystalline TiV4Re2 at its relaxed geometry. Source: the Alexandria database, functional GGA-PBE.

abc: 4.302 4.302 6.971
angles: 72.03 72.03 90.00
Sites, in units of the cell vectors:
Ti (0.000, 0.000, 0.000)
Re (0.622, 0.622, 0.755)
Re (0.378, 0.378, 0.245)
V (0.500, 0.000, 0.000)
V (0.195, 0.195, 0.611)
V (0.000, 0.500, 0.000)
V (0.805, 0.805, 0.389)

Results
Symmetry ... I4/mmm, No. 139
E ... -61.91 eV/cell
Formation energy from the elements ... 1050 meV per atom
Relative energy among the computed polymorphs ... 78.5 kJ per mole of atoms


Crystalline TiV2Re4 at its relaxed geometry. Source: the Alexandria database, functional GGA-PBE.

abc: 5.214 5.214 5.214
angles: 110.28 109.07 109.07
Sites, in units of the cell vectors:
Ti (0.000, 0.000, 0.000)
Re (0.000, 0.500, 0.000)
Re (0.000, 0.000, 0.500)
Re (0.500, 0.500, 0.500)
Re (0.500, 0.000, 0.000)
V (0.500, 0.000, 0.500)
V (0.500, 0.500, 0.000)

Results
Symmetry ... I4/mmm, No. 139
E ... -74.47 eV/cell
Formation energy from the elements ... 207 meV per atom


Crystalline Ti3V2Re3 at its relaxed geometry. Source: the Alexandria database, functional GGA-PBE.

abc: 3.112 4.414 9.082
angles: 104.06 99.87 90.00
Sites, in units of the cell vectors:
Re (0.000, 0.500, 0.000)
Re (0.131, 0.131, 0.262)
Re (0.869, 0.869, 0.738)
Ti (0.500, 0.000, 0.000)
Ti (0.376, 0.376, 0.751)
Ti (0.624, 0.624, 0.249)
V (0.744, 0.244, 0.489)
V (0.256, 0.756, 0.511)

Results
Symmetry ... Immm, No. 71
E ... -81.95 eV/cell
Formation energy from the elements ... -336 meV per atom


Crystalline TiV3Re2 at its relaxed geometry. Source: the Alexandria database, functional GGA-PBE.

abc: 4.271 6.671 6.731
angles: 94.95 108.49 90.00
Sites, in units of the cell vectors:
V (0.694, 0.971, 0.388)
V (0.077, 0.870, 0.153)
V (0.306, 0.029, 0.612)
V (0.613, 0.581, 0.225)
V (0.387, 0.419, 0.775)
V (0.923, 0.130, 0.847)
Re (0.536, 0.192, 0.071)
Re (0.770, 0.341, 0.540)
Re (0.230, 0.659, 0.460)
Re (0.464, 0.808, 0.929)
Ti (0.147, 0.283, 0.293)
Ti (0.853, 0.717, 0.707)

Results
Symmetry ... C2/m, No. 12
E ... -121.70 eV/cell
Formation energy from the elements ... -117 meV per atom


Crystalline Ti3VRe2 at its relaxed geometry. Source: the Alexandria database, functional GGA-PBE.

abc: 4.352 6.744 6.966
angles: 96.85 108.20 90.00
Sites, in units of the cell vectors:
Ti (0.693, 0.970, 0.386)
Ti (0.072, 0.851, 0.143)
Ti (0.928, 0.149, 0.857)
Ti (0.389, 0.433, 0.779)
Ti (0.611, 0.567, 0.221)
Ti (0.307, 0.030, 0.614)
V (0.154, 0.279, 0.307)
V (0.846, 0.721, 0.693)
Re (0.768, 0.347, 0.535)
Re (0.542, 0.184, 0.083)
Re (0.232, 0.653, 0.465)
Re (0.458, 0.816, 0.917)

Results
Symmetry ... C2/m, No. 12
E ... -116.86 eV/cell
Formation energy from the elements ... -122 meV per atom


Crystalline TiV2Re2 at its relaxed geometry. Source: the Alexandria database, functional GGA-PBE.

abc: 3.055 3.127 8.006
angles: 78.74 90.00 90.00
Sites, in units of the cell vectors:
Re (0.500, 0.603, 0.794)
Re (0.500, 0.397, 0.206)
V (0.000, 0.189, 0.623)
V (0.000, 0.811, 0.377)
Ti (0.000, 0.000, 0.000)

Results
Symmetry ... Cmmm, No. 65
E ... -51.27 eV/cell
Formation energy from the elements ... -48 meV per atom
Relative energy among the computed polymorphs ... 0.0 kJ per mole of atoms


Crystalline Ti2VRe at its relaxed geometry. Source: the Alexandria database, functional GGA-PBE.

abc: 3.140 4.413 4.413
angles: 90.00 90.00 90.00
Last column: magnetic moment on the atom in μB.
Sites, in units of the cell vectors:
V (0.500, 0.500, 0.500)  1.37
Re (0.500, 0.000, 0.000)  -0.05
Ti (0.000, 0.000, 0.500)  0.19
Ti (0.000, 0.500, 0.000)  0.19

Results
Symmetry ... P4/mmm, No. 123
E ... -38.04 eV/cell
Formation energy from the elements ... -171 meV per atom


Crystalline TiVRe3 at its relaxed geometry. Source: the Alexandria database, functional GGA-PBE.

abc: 4.482 4.482 4.482
angles: 90.00 90.00 90.00
Sites, in units of the cell vectors:
Re (0.500, 0.000, 0.000)
Re (0.000, 0.000, 0.500)
Re (0.000, 0.500, 0.000)
V (0.500, 0.500, 0.500)
Ti (0.000, 0.000, 0.000)

Results
Symmetry ... Pm-3m, No. 221
E ... -45.37 eV/cell
Formation energy from the elements ... 1797 meV per atom
Relative energy among the computed polymorphs ... 51.9 kJ per mole of atoms


Crystalline Ti2VRe at its relaxed geometry. Source: the Alexandria database, functional GGA-PBE.

abc: 4.366 2.776 5.152
angles: 78.12 90.00 90.00
Sites, in units of the cell vectors:
Re (0.038, 0.652, 0.663)
V (0.538, 0.446, 0.432)
Ti (0.038, 0.173, 0.170)
Ti (0.538, 0.873, 0.910)

Results
Symmetry ... Pm, No. 6
E ... -38.08 eV/cell
Formation energy from the elements ... -181 meV per atom


Crystalline TiV3Re4 at its relaxed geometry. Source: the Alexandria database, functional GGA-PBE.

abc: 3.054 4.329 8.657
angles: 90.00 90.00 90.00
Sites, in units of the cell vectors:
V (0.500, 0.500, 0.500)
V (0.500, 0.000, 0.251)
V (0.500, 0.000, 0.749)
Re (0.000, 0.500, 0.256)
Re (0.000, 0.000, 0.000)
Re (0.000, 0.000, 0.500)
Re (0.000, 0.500, 0.744)
Ti (0.500, 0.500, 0.000)

Results
Symmetry ... Pmmm, No. 47
E ... -88.07 eV/cell
Formation energy from the elements ... -379 meV per atom


Crystalline Ti2V3Re2 at its relaxed geometry. Source: the Alexandria database, functional GGA-PBE.

abc: 4.306 5.142 5.104
angles: 95.56 90.00 114.75
Sites, in units of the cell vectors:
Re (0.140, 0.280, 0.580)
Re (0.860, 0.720, 0.420)
V (0.721, 0.442, 0.846)
V (0.279, 0.558, 0.154)
V (0.000, 0.000, 0.000)
Ti (0.575, 0.149, 0.278)
Ti (0.425, 0.851, 0.722)

Results
Symmetry ... C2/m, No. 12
E ... -69.72 eV/cell
Formation energy from the elements ... -239 meV per atom


Crystalline TiV6Re at its relaxed geometry. Source: the Alexandria database, functional GGA-PBE.

abc: 5.399 5.399 5.399
angles: 110.84 110.84 110.84
Sites, in units of the cell vectors:
V (0.749, 0.254, 0.749)
V (0.746, 0.251, 0.251)
V (0.251, 0.251, 0.746)
V (0.251, 0.746, 0.251)
V (0.749, 0.749, 0.254)
V (0.254, 0.749, 0.749)
Ti (0.000, 0.000, 0.000)
Re (0.500, 0.500, 0.500)

Results
Symmetry ... R-3m, No. 166
E ... -74.21 eV/cell
Formation energy from the elements ... 106 meV per atom
Relative energy among the computed polymorphs ... 20.1 kJ per mole of atoms


Crystalline Ti2V2Re at its relaxed geometry. Source: the Alexandria database, functional GGA-PBE.

abc: 3.876 5.197 5.169
angles: 120.18 112.02 90.00
Sites, in units of the cell vectors:
Re (0.000, 0.000, 0.000)
V (0.500, 0.731, 0.000)
V (0.500, 0.269, 0.000)
Ti (0.797, 0.297, 0.594)
Ti (0.203, 0.703, 0.406)

Results
Symmetry ... Immm, No. 71
E ... -45.59 eV/cell
Formation energy from the elements ... 178 meV per atom
Relative energy among the computed polymorphs ... 36.5 kJ per mole of atoms


Crystalline TiVRe at its relaxed geometry. Source: the Alexandria database, functional GGA-PBE.

abc: 4.668 4.673 5.201
angles: 105.01 104.97 115.09
Sites, in units of the cell vectors:
Re (0.541, 0.550, 0.750)
Re (0.791, 0.300, 0.250)
Ti (0.127, 0.964, 0.250)
Ti (0.877, 0.214, 0.750)
V (0.469, 0.621, 0.250)
V (0.219, 0.871, 0.750)

Results
Symmetry ... Fdd2, No. 43
E ... -59.35 eV/cell
Formation energy from the elements ... -71 meV per atom
Relative energy among the computed polymorphs ... 20.5 kJ per mole of atoms


Crystalline Ti2VRe at its relaxed geometry. Source: the Alexandria database, functional GGA-PBE.

abc: 5.759 5.759 5.759
angles: 55.23 152.34 133.20
Sites, in units of the cell vectors:
V (0.000, 0.000, 0.000)
Re (0.000, 0.500, 0.500)
Ti (0.000, 0.249, 0.249)
Ti (0.000, 0.751, 0.751)

Results
Symmetry ... Immm, No. 71
E ... -35.68 eV/cell
Formation energy from the elements ... 419 meV per atom


Crystalline TiV2Re at its relaxed geometry. Source: the Alexandria database, functional GGA-PBE.

abc: 4.563 4.911 6.421
angles: 90.00 110.81 90.00
Sites, in units of the cell vectors:
V (0.796, 0.002, 0.592)
V (0.204, 0.502, 0.408)
V (0.204, 0.998, 0.408)
V (0.796, 0.498, 0.592)
Re (0.992, 0.750, 0.984)
Re (0.008, 0.250, 0.016)
Ti (0.414, 0.250, 0.828)
Ti (0.586, 0.750, 0.172)

Results
Symmetry ... Cmcm, No. 63
E ... -73.30 eV/cell
Formation energy from the elements ... 483 meV per atom


Crystalline TiVRe2 at its relaxed geometry. Source: the Alexandria database, functional GGA-PBE.

abc: 3.075 3.075 6.170
angles: 90.00 90.00 90.00
Sites, in units of the cell vectors:
Re (0.000, 0.000, 0.242)
Re (0.000, 0.000, 0.758)
V (0.500, 0.500, 0.000)
Ti (0.500, 0.500, 0.500)

Results
Symmetry ... P4/mmm, No. 123
E ... -43.52 eV/cell
Formation energy from the elements ... -402 meV per atom
Relative energy among the computed polymorphs ... 0.0 kJ per mole of atoms


Crystalline Ti4V2Re at its relaxed geometry. Source: the Alexandria database, functional GGA-PBE.

abc: 4.718 4.718 6.826
angles: 69.78 69.78 90.00
Last column: magnetic moment on the atom in μB.
Sites, in units of the cell vectors:
Ti (0.209, 0.209, 0.583)  -0.03
Ti (0.500, 0.000, 0.000)  0.10
Ti (0.000, 0.500, 0.000)  0.10
Ti (0.791, 0.791, 0.417)  -0.03
V (0.618, 0.618, 0.764)  0.48
V (0.382, 0.382, 0.236)  0.48
Re (0.000, 0.000, 0.000)  -0.03

Results
Symmetry ... I4/mmm, No. 139
E ... -56.17 eV/cell
Formation energy from the elements ... 871 meV per atom


Crystalline TiRe2W6 at its relaxed geometry. Source: the Alexandria database, functional GGA-PBE.

abc: 4.438 5.327 7.455
angles: 110.93 107.32 90.00
Sites, in units of the cell vectors:
W (0.695, 0.454, 0.391)
W (0.500, 0.744, 0.000)
W (0.695, 0.937, 0.391)
W (0.305, 0.063, 0.609)
W (0.305, 0.546, 0.609)
W (0.500, 0.256, 0.000)
Ti (0.000, 0.000, 0.000)
Re (0.895, 0.395, 0.790)
Re (0.105, 0.605, 0.210)

Results
Symmetry ... Immm, No. 71
E ... -104.29 eV/cell
Formation energy from the elements ... 691 meV per atom


Crystalline Ti3Re4W at its relaxed geometry. Source: the Alexandria database, functional GGA-PBE.

abc: 3.125 3.125 12.500
angles: 90.00 90.00 90.00
Sites, in units of the cell vectors:
Ti (0.500, 0.500, 0.253)
Ti (0.500, 0.500, 0.747)
Ti (0.500, 0.500, 0.500)
Re (0.000, 0.000, 0.375)
Re (0.000, 0.000, 0.875)
Re (0.000, 0.000, 0.625)
Re (0.000, 0.000, 0.125)
W (0.500, 0.500, 0.000)

Results
Symmetry ... P4/mmm, No. 123
E ... -89.32 eV/cell
Formation energy from the elements ... -361 meV per atom


Crystalline Ti4Re2W at its relaxed geometry. Source: the Alexandria database, functional GGA-PBE.

abc: 4.677 4.677 7.049
angles: 70.63 70.63 90.00
Sites, in units of the cell vectors:
Ti (0.200, 0.200, 0.600)
Ti (0.800, 0.800, 0.400)
Ti (0.000, 0.500, 0.000)
Ti (0.500, 0.000, 0.000)
W (0.000, 0.000, 0.000)
Re (0.615, 0.615, 0.769)
Re (0.385, 0.385, 0.231)

Results
Symmetry ... I4/mmm, No. 139
E ... -62.45 eV/cell
Formation energy from the elements ... 996 meV per atom


Crystalline Ti3Re3W2 at its relaxed geometry. Source: the Alexandria database, functional GGA-PBE.

abc: 3.136 4.412 9.325
angles: 103.68 99.68 90.00
Sites, in units of the cell vectors:
W (0.253, 0.753, 0.507)
W (0.747, 0.247, 0.493)
Ti (0.379, 0.379, 0.758)
Ti (0.500, 0.000, 0.000)
Ti (0.621, 0.621, 0.242)
Re (0.000, 0.500, 0.000)
Re (0.126, 0.126, 0.252)
Re (0.874, 0.874, 0.748)

Results
Symmetry ... Immm, No. 71
E ... -89.74 eV/cell
Formation energy from the elements ... -351 meV per atom


Crystalline Ti2Re3W at its relaxed geometry. Source: the Alexandria database, functional GGA-PBE.

abc: 3.126 3.126 9.391
angles: 90.00 90.00 90.00
Sites, in units of the cell vectors:
Ti (0.500, 0.500, 0.163)
Ti (0.500, 0.500, 0.837)
Re (0.000, 0.000, 0.334)
Re (0.000, 0.000, 0.666)
Re (0.000, 0.000, 0.000)
W (0.500, 0.500, 0.500)

Results
Symmetry ... P4/mmm, No. 123
E ... -68.20 eV/cell
Formation energy from the elements ... -353 meV per atom


Crystalline TiReW2 at its relaxed geometry. Source: the Alexandria database, functional GGA-PBE.

abc: 4.453 4.453 4.453
angles: 60.00 60.00 60.00
Sites, in units of the cell vectors:
Re (0.500, 0.500, 0.500)
W (0.250, 0.250, 0.250)
W (0.750, 0.750, 0.750)
Ti (0.000, 0.000, 0.000)

Results
Symmetry ... Fm-3m, No. 225
E ... -46.94 eV/cell
Formation energy from the elements ... -173 meV per atom
Relative energy among the computed polymorphs ... 5.2 kJ per mole of atoms


Crystalline Ti5Re6W at its relaxed geometry. Source: the Alexandria database, functional GGA-PBE.

abc: 4.404 6.249 7.649
angles: 114.11 106.73 90.00
Sites, in units of the cell vectors:
Re (0.166, 0.415, 0.332)
Re (0.834, 0.585, 0.668)
Re (0.500, 0.249, 0.000)
Re (0.166, 0.917, 0.332)
Re (0.500, 0.751, 0.000)
Re (0.834, 0.083, 0.668)
Ti (0.333, 0.333, 0.667)
Ti (0.667, 0.667, 0.333)
Ti (0.000, 0.500, 0.000)
Ti (0.332, 0.832, 0.665)
Ti (0.668, 0.168, 0.335)
W (0.000, 0.000, 0.000)

Results
Symmetry ... Immm, No. 71
E ... -131.95 eV/cell
Formation energy from the elements ... -403 meV per atom


Crystalline TiReW3 at its relaxed geometry. Source: the Alexandria database, functional GGA-PBE.

abc: 4.740 4.740 4.740
angles: 90.00 90.00 90.00
Sites, in units of the cell vectors:
Re (0.000, 0.000, 0.000)
W (0.500, 0.000, 0.000)
W (0.000, 0.000, 0.500)
W (0.000, 0.500, 0.000)
Ti (0.500, 0.500, 0.500)

Results
Symmetry ... Pm-3m, No. 221
E ... -49.99 eV/cell
Formation energy from the elements ... 1842 meV per atom
Relative energy among the computed polymorphs ... 195.3 kJ per mole of atoms